Record 1
Density functional theory data (PBE) for a relaxed structure of MgCrGe2.

Its symmetry is No. 122. The energy of formation is 0.27 eV/atom.

Lattice parameters (Å, degrees): 4.285 4.285 9.236 76.59 76.59 90.00
Site moments in Bohr magnetons follow the coordinates.
Sites, in units of the cell vectors:
Cr: 0.000 0.000 0.000  3.45
Cr: 0.750 0.250 0.500  3.45
Ge: 0.676 0.125 0.250  -0.04
Ge: 0.074 0.625 0.250  -0.04
Ge: 0.375 0.324 0.750  -0.04
Ge: 0.875 0.926 0.750  -0.04
Mg: 0.500 0.500 0.000  0.01
Mg: 0.250 0.750 0.500  0.01

=====

Record 2
Density functional theory data (PBE) for a relaxed structure of MgCr2GeMo.

Its symmetry is No. 123. The energy of formation is 1.26 eV/atom.

Lattice parameters (Å, degrees): 4.596 5.144 4.596 90.00 90.00 90.00
Site moments in Bohr magnetons follow the coordinates.
Sites, in units of the cell vectors:
Mg: 0.000 0.500 0.000  -0.02
Cr: 0.000 0.000 0.500  2.50
Cr: 0.500 0.000 0.000  3.06
Mo: 0.000 0.000 0.000  -1.01
Ge: 0.500 0.500 0.500  -0.04